1.
DFT (PBE) results for Na2Tl2Hg15 after structural relaxation.

Output
E_tot in eV per atom: -0.6712
Crystal system: trigonal
Energy of formation in meV/atom: -45

a b c (Å): 8.418 8.418 8.418
angles (deg): 74.50 74.50 74.50
Fractional coordinates of all 19 atoms:
Na 0.099 0.099 0.099
Na 0.901 0.901 0.901
Tl 0.354 0.354 0.354
Tl 0.646 0.646 0.646
Hg 0.000 0.000 0.500
Hg 0.000 0.297 0.703
Hg 0.000 0.500 0.000
Hg 0.000 0.703 0.297
Hg 0.148 0.620 0.620
Hg 0.297 0.000 0.703
Hg 0.297 0.703 0.000
Hg 0.380 0.380 0.852
Hg 0.380 0.852 0.380
Hg 0.500 0.000 0.000
Hg 0.620 0.148 0.620
Hg 0.620 0.620 0.148
Hg 0.703 0.000 0.297
Hg 0.703 0.297 0.000
Hg 0.852 0.380 0.380

=====

2.
DFT (PBE) results for Na2Tl2Hg3 after structural relaxation.

Output
E_tot in eV per atom: -1.3076
Crystal system: triclinic
Excess energy over the best structure of this formula in the dataset in meV per atom: 0
Energy of formation in meV/atom: -125

a b c (Å): 5.075 5.197 8.938
angles (deg): 77.80 75.40 61.46
Fractional coordinates of all 7 atoms:
Na 0.119 0.118 0.143
Na 0.881 0.882 0.857
Tl 0.371 0.367 0.392
Tl 0.629 0.633 0.608
Hg 0.243 0.249 0.765
Hg 0.500 0.500 0.000
Hg 0.757 0.751 0.235

=====

3.
DFT (PBE) results for Na3TlHg7 after structural relaxation.

Output
E_tot in eV per atom: -0.9189
Crystal system: orthorhombic
Energy of formation in meV/atom: -152

a b c (Å): 11.996 11.996 11.539
angles (deg): 90.00 90.00 158.23
Fractional coordinates of all 22 atoms:
Na 0.130 0.870 0.577
Na 0.130 0.870 0.923
Na 0.178 0.822 0.250
Na 0.822 0.178 0.750
Na 0.870 0.130 0.077
Na 0.870 0.130 0.423
Tl 0.031 0.969 0.250
Tl 0.969 0.031 0.750
Hg 0.263 0.737 0.590
Hg 0.263 0.737 0.910
Hg 0.314 0.686 0.250
Hg 0.394 0.606 0.613
Hg 0.394 0.606 0.887
Hg 0.461 0.539 0.114
Hg 0.461 0.539 0.386
Hg 0.539 0.461 0.614
Hg 0.539 0.461 0.886
Hg 0.606 0.394 0.113
Hg 0.606 0.394 0.387
Hg 0.686 0.314 0.750
Hg 0.737 0.263 0.090
Hg 0.737 0.263 0.410

=====

4.
DFT (PBE) results for Na6TlHg6 after structural relaxation.

Output
E_tot in eV per atom: -1.1045
Crystal system: hexagonal
Excess energy over the best structure of this formula in the dataset in meV per atom: 0
Energy of formation in meV/atom: -174

a b c (Å): 6.179 6.179 10.964
angles (deg): 90.00 90.00 120.00
Fractional coordinates of all 13 atoms:
Na 0.000 0.000 0.169
Na 0.000 0.000 0.831
Na 0.333 0.667 0.000
Na 0.333 0.667 0.500
Na 0.667 0.333 0.000
Na 0.667 0.333 0.500
Tl 0.000 0.000 0.500
Hg 0.000 0.500 0.254
Hg 0.000 0.500 0.746
Hg 0.500 0.000 0.254
Hg 0.500 0.000 0.746
Hg 0.500 0.500 0.254
Hg 0.500 0.500 0.746

=====

Number 1: N(E_F) 5.4 states/eV/f.u.. Number 2: N(E_F) 2.9 states/eV/f.u.. Number 3: N(E_F) 3.5 states/eV/f.u.. Number 4: N(E_F) 5.1 states/eV/f.u..